VASP calculation (GGA-PBE) on a relaxed structure of CuMoPd3.

Unit cell a=4.779 b=4.779 c=4.779 alpha=90.00 beta=90.00 gamma=90.00
Fractional positions:
Cu: 0.000 0.000 0.000
Mo: 0.500 0.500 0.500
Pd: 0.000 0.500 0.500
Pd: 0.500 0.000 0.500
Pd: 0.500 0.500 0.000

Properties
Space group: Pm-3m, No. 221
E, eV per atom: -4.8280
Total magnetization, μB/f.u.: 0.00
Relative energy among the computed polymorphs, meV/atom: 1008



VASP calculation (GGA-PBE) on a relaxed structure of Cu2MoPdRh.

Unit cell a=4.618 b=4.618 c=4.585 alpha=90.00 beta=90.00 gamma=90.00
Fractional positions:
Cu: 0.000 0.500 0.000
Cu: 0.500 0.000 0.000
Mo: 0.000 0.000 0.500
Pd: 0.500 0.500 0.500
Rh: 0.000 0.000 0.000

Properties
Space group: P4/mmm, No. 123
E, eV per atom: -5.1025
Total magnetization, μB/f.u.: 2.01



Short version: energy of formation = 1273; 1211 meV per atom, in the order given.
Short version: density of states at the Fermi level = 0.775; 0.973 states/eV per atom, in the order given.